one:
Density functional theory data (GGA-PBE) for an optimized crystal structure of TcP2OsCl.

abc: 4.5640 4.5640 4.7771
angles: 90.00 90.00 90.00
Last column: magnetic moment on the atom in μB.
Element x y z (fractional)
1 Os 0.5000 0.5000 0.5000  2.69
2 P 0.5000 0.0000 0.0000  -0.05
3 P 0.0000 0.5000 0.0000  -0.05
4 Cl 0.0000 0.0000 0.5000  0.11
5 Tc 0.0000 0.0000 0.0000  0.04

Calculated values
spin magnetization = 3.02 Bohr magnetons per cell

=====

two:
Density functional theory data (GGA-PBE) for an optimized crystal structure of TcP2OsCl.

abc: 4.5471 4.5471 4.9805
angles: 90.00 90.00 90.00
Last column: magnetic moment on the atom in μB.
Element x y z (fractional)
1 P 0.0000 0.5000 0.0000  -0.07
2 P 0.5000 0.0000 0.0000  -0.07
3 Cl 0.0000 0.0000 0.5000  0.06
4 Os 0.0000 0.0000 0.0000  -0.10
5 Tc 0.5000 0.5000 0.5000  3.54

Calculated values
spin magnetization = 3.75 Bohr magnetons per cell

=====

Most favorable structure: two. The second most favorable one is 0.252 eV/atom above it.

=====

one:
Density functional theory data (GGA-PBE) for an optimized crystal structure of TeP2OsCl.

abc: 4.6363 4.6363 4.8201
angles: 90.00 90.00 90.00
Element x y z (fractional)
1 P 0.5000 0.0000 0.0000
2 P 0.0000 0.5000 0.0000
3 Te 0.5000 0.5000 0.5000
4 Os 0.0000 0.0000 0.0000
5 Cl 0.0000 0.0000 0.5000

Calculated values
spin magnetization = 0.00 Bohr magnetons per cell

=====

two:
Density functional theory data (GGA-PBE) for an optimized crystal structure of TeP2OsCl.

abc: 5.1033 5.1033 4.9436
angles: 90.00 90.00 90.00
Last column: magnetic moment on the atom in μB.
Element x y z (fractional)
1 Cl 0.0000 0.0000 0.5000  0.05
2 Te 0.0000 0.0000 0.0000  0.00
3 P 0.0000 0.5000 0.0000  -0.01
4 P 0.5000 0.0000 0.0000  -0.01
5 Os 0.5000 0.5000 0.5000  3.00

Calculated values
spin magnetization = 3.44 Bohr magnetons per cell

=====

Most favorable structure: one. The second most favorable one is 1.485 eV/atom above it.

=====

one:
Density functional theory data (GGA-PBE) for an optimized crystal structure of TlP2OsCl.

abc: 5.0954 5.0954 5.0852
angles: 90.00 90.00 90.00
Last column: magnetic moment on the atom in μB.
Element x y z (fractional)
1 Tl 0.0000 0.0000 0.0000  0.00
2 Cl 0.0000 0.0000 0.5000  0.04
3 P 0.0000 0.5000 0.0000  -0.16
4 P 0.5000 0.0000 0.0000  -0.16
5 Os 0.5000 0.5000 0.5000  2.95

Calculated values
spin magnetization = 2.76 Bohr magnetons per cell

=====

two:
Density functional theory data (GGA-PBE) for an optimized crystal structure of TlP2OsCl.

abc: 4.5285 4.5285 5.7457
angles: 90.00 90.00 90.00
Element x y z (fractional)
1 Os 0.0000 0.0000 0.0000
2 P 0.0000 0.5000 0.0000
3 P 0.5000 0.0000 0.0000
4 Cl 0.0000 0.0000 0.5000
5 Tl 0.5000 0.5000 0.5000

Calculated values
spin magnetization = 0.00 Bohr magnetons per cell

=====

Most favorable structure: two. The second most favorable one is 1.814 eV/atom above it.

=====

one:
Density functional theory data (GGA-PBE) for an optimized crystal structure of VPOsCl2.

abc: 4.9028 4.9028 4.4866
angles: 90.00 90.00 90.00
Last column: magnetic moment on the atom in μB.
Element x y z (fractional)
1 P 0.0000 0.0000 0.5000  -0.05
2 Os 0.0000 0.0000 0.0000  0.05
3 V 0.5000 0.5000 0.5000  0.24
4 Cl 0.0000 0.5000 0.0000  -0.01
5 Cl 0.5000 0.0000 0.0000  -0.01

Calculated values
spin magnetization = 0.27 Bohr magnetons per cell

=====

two:
Density functional theory data (GGA-PBE) for an optimized crystal structure of VPOsCl2.

abc: 4.4654 4.4654 5.1663
angles: 90.00 90.00 90.00
Last column: magnetic moment on the atom in μB.
Element x y z (fractional)
1 Cl 0.5000 0.0000 0.0000  0.07
2 Cl 0.0000 0.5000 0.0000  0.07
3 P 0.0000 0.0000 0.5000  0.06
4 V 0.0000 0.0000 0.0000  -1.75
5 Os 0.5000 0.5000 0.5000  2.90

Calculated values
spin magnetization = 1.59 Bohr magnetons per cell

=====

Most favorable structure: two. The second most favorable one is 0.056 eV/atom above it.

=====

one:
Density functional theory data (GGA-PBE) for an optimized crystal structure of VP2OsCl.

abc: 4.6176 4.6176 4.3811
angles: 90.00 90.00 90.00
Last column: magnetic moment on the atom in μB.
Element x y z (fractional)
1 P 0.0000 0.5000 0.0000  -0.09
2 P 0.5000 0.0000 0.0000  -0.09
3 V 0.0000 0.0000 0.0000  0.83
4 Cl 0.0000 0.0000 0.5000  0.08
5 Os 0.5000 0.5000 0.5000  2.46

Calculated values
spin magnetization = 3.48 Bohr magnetons per cell

=====

two:
Density functional theory data (GGA-PBE) for an optimized crystal structure of VP2OsCl.

abc: 4.5186 4.5186 5.0097
angles: 90.00 90.00 90.00
Last column: magnetic moment on the atom in μB.
Element x y z (fractional)
1 Os 0.0000 0.0000 0.0000  0.22
2 P 0.5000 0.0000 0.0000  0.02
3 P 0.0000 0.5000 0.0000  0.02
4 Cl 0.0000 0.0000 0.5000  0.01
5 V 0.5000 0.5000 0.5000  -0.32

Calculated values
spin magnetization = 0.00 Bohr magnetons per cell

=====

Most favorable structure: two. The second most favorable one is 0.091 eV/atom above it.

=====

one:
Density functional theory data (GGA-PBE) for an optimized crystal structure of P2OsWCl.

abc: 4.7388 4.7388 4.5736
angles: 90.00 90.00 90.00
Last column: magnetic moment on the atom in μB.
Element x y z (fractional)
1 P 0.5000 0.0000 0.0000  -0.07
2 P 0.0000 0.5000 0.0000  -0.07
3 W 0.0000 0.0000 0.0000  0.19
4 Os 0.5000 0.5000 0.5000  2.60
5 Cl 0.0000 0.0000 0.5000  0.07

Calculated values
spin magnetization = 3.01 Bohr magnetons per cell

=====

two:
Density functional theory data (GGA-PBE) for an optimized crystal structure of P2OsWCl.

abc: 4.5396 4.5396 4.8929
angles: 90.00 90.00 90.00
Last column: magnetic moment on the atom in μB.
Element x y z (fractional)
1 W 0.5000 0.5000 0.5000  2.96
2 Os 0.0000 0.0000 0.0000  0.15
3 Cl 0.0000 0.0000 0.5000  0.01
4 P 0.0000 0.5000 0.0000  -0.08
5 P 0.5000 0.0000 0.0000  -0.08

Calculated values
spin magnetization = 3.80 Bohr magnetons per cell

=====

Most favorable structure: two. The second most favorable one is 0.009 eV/atom above it.

=====

one:
Density functional theory data (GGA-PBE) for an optimized crystal structure of ZnPOsCl2.

abc: 4.4850 4.4850 5.4213
angles: 90.00 90.00 90.00
Last column: magnetic moment on the atom in μB.
Element x y z (fractional)
1 Cl 0.5000 0.0000 0.0000  0.07
2 Cl 0.0000 0.5000 0.0000  0.07
3 Os 0.5000 0.5000 0.5000  3.05
4 Zn 0.0000 0.0000 0.0000  0.02
5 P 0.0000 0.0000 0.5000  -0.06

Calculated values
spin magnetization = 3.57 Bohr magnetons per cell

=====

two:
Density functional theory data (GGA-PBE) for an optimized crystal structure of ZnPOsCl2.

abc: 4.9409 4.9409 4.5214
angles: 90.00 90.00 90.00
Element x y z (fractional)
1 Cl 0.0000 0.5000 0.0000
2 Cl 0.5000 0.0000 0.0000
3 Zn 0.5000 0.5000 0.5000
4 Os 0.0000 0.0000 0.0000
5 P 0.0000 0.0000 0.5000

Calculated values
spin magnetization = 0.00 Bohr magnetons per cell

=====

Most favorable structure: two. The second most favorable one is 0.761 eV/atom above it.

=====

one:
Density functional theory data (GGA-PBE) for an optimized crystal structure of OsPb2Cl.

abc: 3.3876 3.3806 8.3818
angles: 75.86 90.00 90.00
Element x y z (fractional)
1 Os 0.5000 0.7500 0.7500
2 Cl 0.5000 0.2500 0.2500
3 Pb 0.0000 0.3828 0.5373
4 Pb 0.0000 0.1172 0.9627

Calculated values
spin magnetization = 0.00 Bohr magnetons per cell

=====

two:
Density functional theory data (GGA-PBE) for an optimized crystal structure of OsPb2Cl.

abc: 3.3791 6.7199 4.5070
angles: 90.00 90.00 90.00
Last column: magnetic moment on the atom in μB.
Element x y z (fractional)
1 Pb 0.0000 0.0000 0.0000  -0.01
2 Pb 0.5000 0.5000 0.0000  -0.03
3 Os 0.0000 0.5000 0.5000  0.70
4 Cl 0.5000 0.0000 0.5000  0.01

Calculated values
spin magnetization = 0.73 Bohr magnetons per cell

=====

Most favorable structure: one. The second most favorable one is 0.477 eV/atom above it.

=====

one:
Density functional theory data (GGA-PBE) for an optimized crystal structure of OsPb2Cl.

abc: 9.9639 9.9639 9.9639
angles: 19.24 19.24 19.24
Last column: magnetic moment on the atom in μB.
Element x y z (fractional)
1 Pb 0.0177 0.0177 0.0177  0.00
2 Pb 0.2443 0.2443 0.2443  0.00
3 Os 0.7547 0.7547 0.7547  0.63
4 Cl 0.4833 0.4833 0.4833  0.07

Calculated values
spin magnetization = 0.74 Bohr magnetons per cell

=====

two:
Density functional theory data (GGA-PBE) for an optimized crystal structure of OsPb2Cl.

abc: 3.3779 3.3779 7.9976
angles: 90.00 90.00 90.03
Element x y z (fractional)
1 Pb 0.0000 0.0000 0.9673
2 Pb 0.0000 0.0000 0.5327
3 Os 0.5000 0.5000 0.7500
4 Cl 0.5000 0.5000 0.2500

Calculated values
spin magnetization = 0.00 Bohr magnetons per cell

=====

Most favorable structure: two. The second most favorable one is 0.277 eV/atom above it.

=====

one:
Density functional theory data (GGA-PBE) for an optimized crystal structure of Os2Pb2Cl.

abc: 7.8338 7.8338 3.2933
angles: 90.00 90.00 90.00
Element x y z (fractional)
1 Os 0.8623 0.6377 0.0000
2 Os 0.1377 0.3623 0.0000
3 Os 0.3623 0.8623 0.0000
4 Os 0.6377 0.1377 0.0000
5 Cl 0.0000 0.0000 0.0000
6 Cl 0.5000 0.5000 0.0000
7 Pb 0.8413 0.3413 0.5000
8 Pb 0.1587 0.6587 0.5000
9 Pb 0.6587 0.8413 0.5000
10 Pb 0.3413 0.1587 0.5000

Calculated values
spin magnetization = 0.00 Bohr magnetons per cell

=====

two:
Density functional theory data (GGA-PBE) for an optimized crystal structure of Os2Pb2Cl.

abc: 5.4467 5.4467 5.4967
angles: 60.30 60.30 90.00
Element x y z (fractional)
1 Cl 0.0000 0.0000 0.0000
2 Pb 0.2500 0.7500 0.5000
3 Pb 0.7500 0.2500 0.5000
4 Os 0.6440 0.6440 0.7121
5 Os 0.3560 0.3560 0.2879

Calculated values
spin magnetization = 0.00 Bohr magnetons per cell

=====

Most favorable structure: two. The second most favorable one is 0.248 eV/atom above it.

=====

one:
Density functional theory data (GGA-PBE) for an optimized crystal structure of OsPb3Cl.

abc: 5.3304 5.3304 5.3304
angles: 90.00 90.00 90.00
Element x y z (fractional)
1 Pb 0.5000 0.0000 0.0000
2 Pb 0.0000 0.5000 0.0000
3 Pb 0.0000 0.0000 0.5000
4 Os 0.0000 0.0000 0.0000
5 Cl 0.5000 0.5000 0.5000

Calculated values
spin magnetization = 0.00 Bohr magnetons per cell

=====

two:
Density functional theory data (GGA-PBE) for an optimized crystal structure of OsPb3Cl.

abc: 5.3902 5.3902 5.3902
angles: 90.00 90.00 90.00
Last column: magnetic moment on the atom in μB.
Element x y z (fractional)
1 Pb 0.0000 0.0000 0.5000  -0.01
2 Pb 0.5000 0.0000 0.0000  0.02
3 Pb 0.0000 0.5000 0.0000  -0.03
4 Os 0.5000 0.5000 0.5000  2.30
5 Cl 0.0000 0.0000 0.0000  -0.01

Calculated values
spin magnetization = 2.63 Bohr magnetons per cell

=====

Most favorable structure: one. The second most favorable one is 1.185 eV/atom above it.

=====

one:
Density functional theory data (GGA-PBE) for an optimized crystal structure of Os3PbCl.

abc: 5.1159 5.1159 5.1159
angles: 90.00 90.00 90.00
Last column: magnetic moment on the atom in μB.
Element x y z (fractional)
1 Os 0.0000 0.0000 0.5000  2.09
2 Os 0.0000 0.5000 0.0000  2.03
3 Os 0.5000 0.0000 0.0000  1.77
4 Pb 0.0000 0.0000 0.0000  -0.08
5 Cl 0.5000 0.5000 0.5000  0.27

Calculated values
spin magnetization = 6.71 Bohr magnetons per cell

=====

two:
Density functional theory data (GGA-PBE) for an optimized crystal structure of Os3PbCl.

abc: 4.4877 4.4877 4.4877
angles: 90.00 90.00 90.00
Element x y z (fractional)
1 Cl 0.0000 0.0000 0.0000
2 Os 0.0000 0.5000 0.0000
3 Os 0.0000 0.0000 0.5000
4 Os 0.5000 0.0000 0.0000
5 Pb 0.5000 0.5000 0.5000

Calculated values
spin magnetization = 0.00 Bohr magnetons per cell

=====

Most favorable structure: two. The second most favorable one is 1.225 eV/atom above it.